Entry 1:
DFT (meta-GGA SCAN) results for CrHg5O6 at its PBEsol-relaxed geometry.

Output
As for the symmetry: No. 15. For the total DFT energy (no corrections), the calculation gives -33.898 eV per atom. The energy relative to the elements, uncorrected is -0.8477 eV per atom.

Cell: 6.5695 8.1482 8.1482 Å, 92.32 96.38 96.38°
Element x y z (fractional)
Hg 0.0000 0.0000 0.0000
Hg 0.8028 0.2032 0.3489
Hg 0.7066 0.0680 0.6123
Hg 0.7934 0.3877 0.9320
Hg 0.3028 0.3489 0.2032
Hg 0.5000 0.0000 0.0000
Hg 0.1972 0.7968 0.6511
Hg 0.2066 0.6123 0.0680
Hg 0.6972 0.6511 0.7968
Hg 0.2934 0.9320 0.3877
O 0.5460 0.7696 0.2388
O 0.7958 0.7245 0.5194
O 0.4540 0.2304 0.7612
O 0.7042 0.4806 0.2755
O 0.1359 0.8059 0.9077
O 0.9540 0.7612 0.2304
O 0.8641 0.1941 0.0923
O 0.2958 0.5194 0.7245
O 0.2042 0.2755 0.4806
O 0.0460 0.2388 0.7696
O 0.6359 0.9077 0.8059
O 0.3641 0.0923 0.1941
Cr 0.7500 0.6830 0.3170
Cr 0.2500 0.3170 0.6830

Entry 2:
DFT (meta-GGA SCAN) results for CrHgPb2O6 at its PBEsol-relaxed geometry.

Output
As for the symmetry: No. 2. For the total DFT energy (no corrections), the calculation gives -28.940 eV per atom. The energy relative to the elements, uncorrected is -1.3903 eV per atom.

Cell: 6.4719 7.1456 7.7724 Å, 94.22 93.17 109.94°
Element x y z (fractional)
Hg 0.3204 0.2949 0.3599
Hg 0.6796 0.7051 0.6401
O 0.1438 0.0519 0.7106
O 0.4609 0.6511 0.2485
O 0.4124 0.7863 0.6358
O 0.8562 0.9481 0.2894
O 0.1717 0.4059 0.8668
O 0.5391 0.3489 0.7515
O 0.0577 0.3872 0.3694
O 0.5876 0.2137 0.3642
O 0.6386 0.8370 0.9769
O 0.9423 0.6128 0.6306
O 0.8283 0.5941 0.1332
O 0.3614 0.1630 0.0231
Pb 0.7807 0.2416 0.1318
Pb 0.8306 0.2585 0.5991
Pb 0.2193 0.7584 0.8682
Pb 0.1694 0.7415 0.4009
Cr 0.6939 0.7542 0.1606
Cr 0.3061 0.2458 0.8394

Entry 3:
DFT (meta-GGA SCAN) results for CrHg3Pb2O8 at its PBEsol-relaxed geometry.

Output
As for the symmetry: No. 14. For the total DFT energy (no corrections), the calculation gives -31.393 eV per atom. The energy relative to the elements, uncorrected is -1.0861 eV per atom.

Cell: 6.4880 6.9330 21.5995 Å, 90.00 90.00 109.24°
Element x y z (fractional)
O 0.1760 0.2234 0.5673
O 0.9738 0.9998 0.7843
O 0.3307 0.2129 0.8970
O 0.8283 0.4168 0.5426
O 0.1717 0.0832 0.0426
O 0.5827 0.0568 0.6555
O 0.4173 0.4432 0.1555
O 0.4173 0.9432 0.3445
O 0.8240 0.7766 0.4327
O 0.3170 0.2964 0.7242
O 0.7399 0.2415 0.8584
O 0.6829 0.7036 0.2758
O 0.3307 0.7129 0.6030
O 0.6876 0.4463 0.9587
O 0.3170 0.7964 0.7758
O 0.8240 0.2766 0.0673
O 0.6693 0.2871 0.3970
O 0.6876 0.9463 0.5413
O 0.3124 0.5537 0.0413
O 0.1717 0.5832 0.4574
O 0.2601 0.7585 0.1416
O 0.6829 0.2036 0.2242
O 0.9738 0.4998 0.7157
O 0.1760 0.7234 0.9327
O 0.7399 0.7415 0.6416
O 0.0262 0.5002 0.2843
O 0.8283 0.9168 0.9574
O 0.3124 0.0537 0.4587
O 0.2601 0.2585 0.3584
O 0.0262 0.0002 0.2157
O 0.5827 0.5568 0.8445
O 0.6693 0.7871 0.1030
Cr 0.4123 0.1359 0.3896
Cr 0.4123 0.6359 0.1104
Cr 0.5877 0.8641 0.6104
Cr 0.5877 0.3641 0.8896
Pb 0.0261 0.2635 0.9753
Pb 0.8327 0.5719 0.1984
Pb 0.1673 0.9281 0.6984
Pb 0.8327 0.0719 0.3016
Pb 0.9739 0.2365 0.4753
Pb 0.0261 0.7635 0.5247
Pb 0.1673 0.4281 0.8016
Pb 0.9739 0.7365 0.0247
Hg 0.4952 0.1790 0.0562
Hg 0.6433 0.9071 0.7813
Hg 0.4952 0.6790 0.4438
Hg 0.9278 0.1296 0.1386
Hg 0.0722 0.3704 0.6386
Hg 0.6433 0.4071 0.7187
Hg 0.3567 0.5929 0.2813
Hg 0.3567 0.0929 0.2187
Hg 0.5048 0.8210 0.9438
Hg 0.0722 0.8704 0.8614
Hg 0.5048 0.3210 0.5562
Hg 0.9278 0.6296 0.3614

Entry 4:
DFT (meta-GGA SCAN) results for CrHgOs2 at its PBEsol-relaxed geometry.

Output
As for the symmetry: No. 35. For the total DFT energy (no corrections), the calculation gives -56.833 eV per atom. Its energy of formation is 0.745 eV per atom.

Cell: 2.7027 2.7027 9.2803 Å, 90.00 90.00 117.44°
Element x y z (fractional)
Hg 0.5000 0.5000 0.2596
Cr 0.0000 0.0000 0.5203
Os 0.5000 0.5000 0.7368
Os 0.0000 0.0000 0.9833

Entry 5:
DFT (meta-GGA SCAN) results for CrHg3Os at its PBEsol-relaxed geometry.

Output
As for the symmetry: No. 221. For the total DFT energy (no corrections), the calculation gives -57.916 eV per atom. Its energy of formation is 1.036 eV per atom.

Cell: 5.1178 5.1178 5.1178 Å, 90.00 90.00 90.00°
Element x y z (fractional)
Hg 0.0000 0.0000 0.5000
Hg 0.0000 0.5000 0.0000
Hg 0.5000 0.0000 0.0000
Os 0.0000 0.0000 0.0000
Cr 0.5000 0.5000 0.5000

Entry 6:
DFT (meta-GGA SCAN) results for CrHgOs2 at its PBEsol-relaxed geometry.

Output
As for the symmetry: No. 47. For the total DFT energy (no corrections), the calculation gives -56.832 eV per atom. Its energy of formation is 0.746 eV per atom.

Cell: 2.8801 4.5623 4.6154 Å, 90.00 90.00 90.00°
Element x y z (fractional)
Cr 0.5000 0.5000 0.0000
Os 0.0000 0.0000 0.0000
Os 0.5000 0.0000 0.5000
Hg 0.0000 0.5000 0.5000

Entry 7:
DFT (meta-GGA SCAN) results for CrHgP2 at its PBEsol-relaxed geometry.

Output
As for the symmetry: No. 216. For the total DFT energy (no corrections), the calculation gives -26.192 eV per atom. Its energy of formation is 0.645 eV per atom.

Cell: 4.5327 4.5327 4.5327 Å, 60.00 60.00 60.00°
Element x y z (fractional)
Cr 0.5000 0.5000 0.5000
P 0.7500 0.7500 0.7500
P 0.0000 0.0000 0.0000
Hg 0.2500 0.2500 0.2500

Entry 8:
DFT (meta-GGA SCAN) results for Cr2HgP at its PBEsol-relaxed geometry.

Output
As for the symmetry: No. 166. The energy relative to the lowest polymorph listed for this composition is 0.000 eV/atom. For the total DFT energy (no corrections), the calculation gives -28.830 eV per atom. Its energy of formation is 0.004 eV per atom.

Cell: 3.3848 3.3848 6.5355 Å, 74.99 74.99 60.00°
Element x y z (fractional)
Cr 0.2775 0.2775 0.1675
Cr 0.7225 0.7225 0.8325
P 0.0000 0.0000 0.0000
Hg 0.5000 0.5000 0.5000